# Li2AlNiO4

A relaxed Li2AlNiO4 crystal (PBE+U, Alexandria via LeMat-Bulk).

```
Li2AlNiO4
1.0
4.980 0.000 0.000
0.000 5.541 0.000
0.000 0.000 6.158
O Ni Li Al
8 2 4 2
direct
0.896 0.681 0.259
0.371 0.862 0.000
0.357 0.853 0.500
0.896 0.681 0.741
0.396 0.319 0.241
0.396 0.319 0.759
0.871 0.138 0.500
0.857 0.147 0.000
0.497 0.165 0.500
0.997 0.835 0.000
0.493 0.666 0.249
0.493 0.666 0.751
0.993 0.334 0.749
0.993 0.334 0.251
0.998 0.837 0.500
0.498 0.163 0.000
```

Computed properties:
- Calculated density: 3.20 Mg/m³
- Calculated volume: 85.0 Å³/f.u.
- Total magnetization: 3.0 μB per formula unit
- E: -0.4162 Ry/atom
- Space group: Pmn2_1
- Crystal system: orthorhombic